Run one
Density functional theory data (GGA-PBEsol) for an optimized crystal structure of NiIr2Au.

Calculated values
The density of states at the Fermi level comes out at 5.00 states/eV/cell. The size of the total moment is 0.001 μB/atom. Its space group is Pmmm, No. 47.

a = 2.714 Å, b = 3.688 Å, c = 5.568 Å
α = 90.00°, β = 90.00°, γ = 90.00°
Fractional positions:
Au1 0.500 0.500 0.500
Ir1 0.000 0.000 0.772
Ir2 0.000 0.000 0.228
Ni1 0.500 0.500 0.000



Run two
Density functional theory data (GGA-PBEsol) for an optimized crystal structure of NiIr2Au.

Calculated values
The density of states at the Fermi level comes out at 4.96 states/eV/cell. The size of the total moment is 0.001 μB/atom. Its space group is I-4m2, No. 119.

a = 3.819 Å, b = 3.819 Å, c = 4.663 Å
α = 114.17°, β = 114.17°, γ = 90.00°
Fractional positions:
Au1 0.250 0.750 0.500
Ir1 0.000 0.000 0.000
Ir2 0.750 0.250 0.500
Ni1 0.500 0.500 0.000



Most stable pick: run two. Distance to second place: 0.065 eV/atom.



Run one
Density functional theory data (GGA-PBEsol) for an optimized crystal structure of IrPt2Au.

Calculated values
The density of states at the Fermi level comes out at 4.27 states/eV/cell. The size of the total moment is 0.000 μB/atom. Its space group is R-3m, No. 166.

a = 2.769 Å, b = 2.769 Å, c = 9.295 Å
α = 81.44°, β = 81.44°, γ = 60.00°
Fractional positions:
Ir1 0.000 0.000 0.000
Au1 0.500 0.500 0.500
Pt1 0.253 0.253 0.240
Pt2 0.747 0.747 0.760



Run two
Density functional theory data (GGA-PBEsol) for an optimized crystal structure of IrPt2Au.

Calculated values
The density of states at the Fermi level comes out at 4.75 states/eV/cell. The size of the total moment is 0.000 μB/atom. Its space group is P4/mmm, No. 123.

a = 2.774 Å, b = 2.774 Å, c = 7.919 Å
α = 90.00°, β = 90.00°, γ = 90.00°
Fractional positions:
Ir1 0.500 0.500 0.500
Au1 0.500 0.500 0.000
Pt1 0.000 0.000 0.735
Pt2 0.000 0.000 0.265



Most stable pick: run one. Distance to second place: 0.009 eV/atom.



Run one
Density functional theory data (GGA-PBEsol) for an optimized crystal structure of Re2IrAu.

Calculated values
The density of states at the Fermi level comes out at 4.42 states/eV/cell. The size of the total moment is 0.000 μB/atom. Its space group is P4/mmm, No. 123.

a = 3.837 Å, b = 3.837 Å, c = 4.016 Å
α = 90.00°, β = 90.00°, γ = 90.00°
Fractional positions:
Au1 0.500 0.500 0.500
Ir1 0.000 0.000 0.500
Re1 0.000 0.500 0.000
Re2 0.500 0.000 0.000



Run two
Density functional theory data (GGA-PBEsol) for an optimized crystal structure of Re2IrAu.

Calculated values
The density of states at the Fermi level comes out at 3.34 states/eV/cell. The size of the total moment is 0.000 μB/atom. Its space group is P4/mmm, No. 123.

a = 2.718 Å, b = 2.718 Å, c = 8.062 Å
α = 90.00°, β = 90.00°, γ = 90.00°
Fractional positions:
Au1 0.500 0.500 0.000
Ir1 0.500 0.500 0.500
Re1 0.000 0.000 0.739
Re2 0.000 0.000 0.261



Most stable pick: run two. Distance to second place: 0.140 eV/atom.



Run one
Density functional theory data (GGA-PBEsol) for an optimized crystal structure of ReIr2Au.

Calculated values
The density of states at the Fermi level comes out at 5.29 states/eV/cell. The size of the total moment is 0.000 μB/atom. Its space group is P4/mmm, No. 123.

a = 3.829 Å, b = 3.927 Å, c = 3.927 Å
α = 90.00°, β = 90.00°, γ = 90.00°
Fractional positions:
Au1 0.500 0.000 0.000
Ir1 0.000 0.000 0.500
Ir2 0.000 0.500 0.000
Re1 0.500 0.500 0.500



Run two
Density functional theory data (GGA-PBEsol) for an optimized crystal structure of ReIr2Au.

Calculated values
The density of states at the Fermi level comes out at 3.20 states/eV/cell. The size of the total moment is 0.000 μB/atom. Its space group is R3m, No. 160.

a = 2.742 Å, b = 2.742 Å, c = 9.234 Å
α = 81.46°, β = 81.46°, γ = 60.00°
Fractional positions:
Au1 0.250 0.250 0.251
Ir1 0.003 0.003 0.991
Ir2 0.752 0.752 0.745
Re1 0.496 0.496 0.513



Most stable pick: run two. Distance to second place: 0.264 eV/atom.



Run one
Density functional theory data (GGA-PBEsol) for an optimized crystal structure of Ir2RhAu.

Calculated values
The density of states at the Fermi level comes out at 3.88 states/eV/cell. The size of the total moment is 0.000 μB/atom. Its space group is Immm, No. 71.

a = 2.699 Å, b = 4.624 Å, c = 5.474 Å
α = 114.98°, β = 104.27°, γ = 90.00°
Fractional positions:
Au1 0.000 0.500 0.000
Ir1 0.767 0.767 0.534
Ir2 0.233 0.233 0.466
Rh1 0.500 0.000 0.000



Run two
Density functional theory data (GGA-PBEsol) for an optimized crystal structure of Ir2RhAu.

Calculated values
The density of states at the Fermi level comes out at 4.23 states/eV/cell. The size of the total moment is 0.000 μB/atom. Its space group is R3m, No. 160.

a = 2.738 Å, b = 2.738 Å, c = 9.122 Å
α = 81.37°, β = 81.37°, γ = 60.00°
Fractional positions:
Au1 0.249 0.249 0.252
Ir1 0.004 0.004 0.988
Ir2 0.750 0.750 0.749
Rh1 0.496 0.496 0.511



Run three
Density functional theory data (GGA-PBEsol) for an optimized crystal structure of Ir2RhAu.

Calculated values
The density of states at the Fermi level comes out at 4.38 states/eV/cell. The size of the total moment is 0.000 μB/atom. Its space group is I-4m2, No. 119.

a = 3.876 Å, b = 3.876 Å, c = 4.738 Å
α = 114.15°, β = 114.15°, γ = 90.00°
Fractional positions:
Au1 0.250 0.750 0.500
Ir1 0.000 0.000 0.000
Ir2 0.750 0.250 0.500
Rh1 0.500 0.500 0.000



Most stable pick: run two. Distance to second place: 0.127 eV/atom.



Run one
Density functional theory data (GGA-PBEsol) for an optimized crystal structure of IrRh2Au.

Calculated values
The density of states at the Fermi level comes out at 4.66 states/eV/cell. The size of the total moment is 0.000 μB/atom. Its space group is Cm, No. 8.

a = 2.744 Å, b = 4.718 Å, c = 4.734 Å
α = 99.88°, β = 90.00°, γ = 106.91°
Fractional positions:
Au1 0.501 0.001 0.496
Ir1 0.256 0.513 0.767
Rh1 0.998 0.997 0.994
Rh2 0.745 0.489 0.244



Run two
Density functional theory data (GGA-PBEsol) for an optimized crystal structure of IrRh2Au.

Calculated values
The density of states at the Fermi level comes out at 8.45 states/eV/cell. The size of the total moment is 0.171 μB/atom. Its space group is Fm-3m, No. 225.

a = 4.367 Å, b = 4.367 Å, c = 4.367 Å
α = 60.00°, β = 60.00°, γ = 60.00°
Each line ends with the local moment (μB).
Fractional positions:
Au1 0.000 0.000 0.000  0.01
Ir1 0.500 0.500 0.500  0.27
Rh1 0.750 0.750 0.750  0.20
Rh2 0.250 0.250 0.250  0.20



Most stable pick: run one. Distance to second place: 0.280 eV/atom.



Run one
Density functional theory data (GGA-PBEsol) for an optimized crystal structure of IrRh2Au.

Calculated values
The density of states at the Fermi level comes out at 4.56 states/eV/cell. The size of the total moment is 0.000 μB/atom. Its space group is R-3m, No. 166.

a = 2.730 Å, b = 2.730 Å, c = 9.089 Å
α = 81.36°, β = 81.36°, γ = 60.00°
Fractional positions:
Rh1 0.254 0.254 0.239
Rh2 0.746 0.746 0.761
Ir1 0.000 0.000 0.000
Au1 0.500 0.500 0.500



Run two
Density functional theory data (GGA-PBEsol) for an optimized crystal structure of IrRh2Au.

Calculated values
The density of states at the Fermi level comes out at 3.57 states/eV/cell. The size of the total moment is 0.000 μB/atom. Its space group is P4/mmm, No. 123.

a = 2.729 Å, b = 2.729 Å, c = 7.766 Å
α = 90.00°, β = 90.00°, γ = 90.00°
Fractional positions:
Rh1 0.000 0.000 0.733
Rh2 0.000 0.000 0.267
Ir1 0.500 0.500 0.500
Au1 0.500 0.500 0.000



Most stable pick: run two. Distance to second place: 0.023 eV/atom.



Run one
Density functional theory data (GGA-PBEsol) for an optimized crystal structure of SrIr2Au.

Calculated values
The density of states at the Fermi level comes out at 3.43 states/eV/cell. The size of the total moment is 0.000 μB/atom. Its space group is P2/m, No. 10.

a = 2.837 Å, b = 4.752 Å, c = 5.565 Å
α = 90.00°, β = 100.68°, γ = 90.00°
Fractional positions:
Au1 0.000 0.500 0.500
Ir1 0.828 0.000 0.702
Ir2 0.172 0.000 0.298
Sr1 0.500 0.500 0.000



Run two
Density functional theory data (GGA-PBEsol) for an optimized crystal structure of SrIr2Au.

Calculated values
The density of states at the Fermi level comes out at 3.82 states/eV/cell. The size of the total moment is 0.000 μB/atom. Its space group is P4mm, No. 99.

a = 2.894 Å, b = 2.894 Å, c = 8.563 Å
α = 90.00°, β = 90.00°, γ = 90.00°
Fractional positions:
Au1 0.500 0.500 0.781
Ir1 0.000 0.000 0.017
Ir2 0.500 0.500 0.209
Sr1 0.000 0.000 0.493



Most stable pick: run two. Distance to second place: 0.074 eV/atom.



Run one
Density functional theory data (GGA-PBEsol) for an optimized crystal structure of SrIrAu.

Calculated values
The density of states at the Fermi level comes out at 1.45 states/eV/cell. The size of the total moment is 0.000 μB/atom. Its space group is P-6m2, No. 187.

a = 4.244 Å, b = 4.375 Å, c = 4.375 Å
α = 120.00°, β = 90.00°, γ = 90.00°
Fractional positions:
Au1 0.000 0.000 0.000
Ir1 0.000 0.333 0.667
Sr1 0.500 0.667 0.333



Run two
Density functional theory data (GGA-PBEsol) for an optimized crystal structure of SrIrAu.

Calculated values
The density of states at the Fermi level comes out at 1.79 states/eV/cell. The size of the total moment is 0.000 μB/atom. Its space group is P3m1, No. 156.

a = 3.060 Å, b = 3.060 Å, c = 7.217 Å
α = 90.00°, β = 90.00°, γ = 120.00°
Fractional positions:
Au1 0.000 0.000 0.982
Ir1 0.333 0.667 0.671
Sr1 0.667 0.333 0.347



Most stable pick: run one. Distance to second place: 0.686 eV/atom.



Run one
Density functional theory data (GGA-PBEsol) for an optimized crystal structure of TcIrAu2.

Calculated values
The density of states at the Fermi level comes out at 4.21 states/eV/cell. The size of the total moment is 0.226 μB/atom. Its space group is Pmmm, No. 47.

a = 2.749 Å, b = 4.727 Å, c = 4.826 Å
α = 90.00°, β = 90.00°, γ = 90.00°
Each line ends with the local moment (μB).
Fractional positions:
Au1 0.000 0.000 0.000  0.02
Au2 0.500 0.500 0.000  0.02
Ir1 0.500 0.000 0.500  0.11
Tc1 0.000 0.500 0.500  0.70



Run two
Density functional theory data (GGA-PBEsol) for an optimized crystal structure of TcIrAu2.

Calculated values
The density of states at the Fermi level comes out at 3.06 states/eV/cell. The size of the total moment is 0.000 μB/atom. Its space group is Cm, No. 8.

a = 2.784 Å, b = 4.781 Å, c = 4.891 Å
α = 99.23°, β = 90.00°, γ = 106.92°
Fractional positions:
Au1 0.997 0.994 0.007
Au2 0.753 0.506 0.242
Ir1 0.506 0.012 0.530
Tc1 0.244 0.488 0.721



Most stable pick: run two. Distance to second place: 0.218 eV/atom.



Run one
Density functional theory data (GGA-PBEsol) for an optimized crystal structure of Tl2IrAu.

Calculated values
The density of states at the Fermi level comes out at 2.86 states/eV/cell. The size of the total moment is 0.000 μB/atom. Its space group is Fm-3m, No. 225.

a = 4.761 Å, b = 4.761 Å, c = 4.761 Å
α = 60.00°, β = 60.00°, γ = 60.00°
Fractional positions:
Au1 0.000 0.000 0.000
Ir1 0.500 0.500 0.500
Tl1 0.250 0.250 0.250
Tl2 0.750 0.750 0.750



Run two
Density functional theory data (GGA-PBEsol) for an optimized crystal structure of Tl2IrAu.

Calculated values
The density of states at the Fermi level comes out at 1.88 states/eV/cell. The size of the total moment is 0.000 μB/atom. Its space group is Pmmm, No. 47.

a = 3.280 Å, b = 4.531 Å, c = 5.275 Å
α = 90.00°, β = 90.00°, γ = 90.00°
Fractional positions:
Au1 0.500 0.500 0.000
Ir1 0.000 0.500 0.500
Tl1 0.000 0.000 0.000
Tl2 0.500 0.000 0.500



Most stable pick: run one. Distance to second place: 0.028 eV/atom.



Run one
Density functional theory data (GGA-PBEsol) for an optimized crystal structure of TlIrAu2.

Calculated values
The density of states at the Fermi level comes out at 2.28 states/eV/cell. The size of the total moment is 0.000 μB/atom. Its space group is Fm-3m, No. 225.

a = 4.617 Å, b = 4.617 Å, c = 4.617 Å
α = 60.00°, β = 60.00°, γ = 60.00°
Fractional positions:
Au1 0.250 0.250 0.250
Au2 0.750 0.750 0.750
Ir1 0.000 0.000 0.000
Tl1 0.500 0.500 0.500



Run two
Density functional theory data (GGA-PBEsol) for an optimized crystal structure of TlIrAu2.

Calculated values
The density of states at the Fermi level comes out at 1.37 states/eV/cell. The size of the total moment is 0.000 μB/atom. Its space group is P4/mmm, No. 123.

a = 4.029 Å, b = 4.029 Å, c = 4.244 Å
α = 90.00°, β = 90.00°, γ = 90.00°
Fractional positions:
Au1 0.000 0.500 0.000
Au2 0.500 0.000 0.000
Ir1 0.500 0.500 0.500
Tl1 0.000 0.000 0.500



Most stable pick: run two. Distance to second place: 0.198 eV/atom.